A plane-wave DFT calculation with GGA-PBEsol was carried out for a geometry-optimized SiBiTe2 structure.

Values from the calculation:
As for the crystal system: trigonal. For the density of states at the Fermi level, the calculation gives 1.5 states/eV per cell. The value obtained for the excess energy over the best structure of this formula in the dataset is 0.00 kcal/mol of atoms. For the size of the total moment, the calculation gives 0.00 μB/atom. Its uncorrected formation energy is 94 meV/atom.

Unit cell a=3.8187 b=3.8187 c=9.5408 alpha=78.46 beta=78.46 gamma=60.00
Atoms (fractional coordinates):
Te: 0.1098 0.1098 0.6706
Te: 0.8902 0.8902 0.3294
Si: 0.5000 0.5000 0.5000
Bi: 0.0000 0.0000 0.0000

=====

A plane-wave DFT calculation with GGA-PBEsol was carried out for a geometry-optimized InHPd3 structure.

Values from the calculation:
As for the crystal system: cubic. For the density of states at the Fermi level, the calculation gives 0.4 states/eV per cell. The value obtained for the excess energy over the best structure of this formula in the dataset is 41.86 kcal/mol of atoms. For the size of the total moment, the calculation gives 0.00 μB/atom.

Unit cell a=4.9003 b=4.9003 c=4.9003 alpha=90.00 beta=90.00 gamma=90.00
Atoms (fractional coordinates):
H: 0.5000 0.5000 0.5000
Pd: 0.5000 0.0000 0.0000
Pd: 0.0000 0.0000 0.5000
Pd: 0.0000 0.5000 0.0000
In: 0.0000 0.0000 0.0000

=====

A plane-wave DFT calculation with GGA-PBEsol was carried out for a geometry-optimized MnSb2P structure.

Values from the calculation:
As for the crystal system: trigonal. For the density of states at the Fermi level, the calculation gives 2.4 states/eV per cell. For the size of the total moment, the calculation gives 0.49 μB/atom. Its uncorrected formation energy is 78 meV/atom.

Unit cell a=3.1581 b=3.1581 c=9.1794 alpha=80.09 beta=80.09 gamma=60.00
Atoms (fractional coordinates):
Sb: 0.0130 0.0130 0.9609
Sb: 0.2296 0.2296 0.3112
P: 0.7703 0.7703 0.6890
Mn: 0.4870 0.4870 0.5389

=====

A plane-wave DFT calculation with GGA-PBEsol was carried out for a geometry-optimized LaAgO2 structure.

Values from the calculation:
As for the crystal system: hexagonal. For the density of states at the Fermi level, the calculation gives 0.0 states/eV per cell. For the size of the total moment, the calculation gives 0.00 μB/atom. Its uncorrected formation energy is -2187 meV/atom.

Unit cell a=3.7936 b=3.7936 c=12.1241 alpha=90.00 beta=90.00 gamma=120.00
Atoms (fractional coordinates):
O: 0.6667 0.3333 0.9161
O: 0.3333 0.6667 0.4161
O: 0.3333 0.6667 0.0839
O: 0.6667 0.3333 0.5839
Ag: 0.3333 0.6667 0.2500
Ag: 0.6667 0.3333 0.7500
La: 0.0000 0.0000 0.5000
La: 0.0000 0.0000 0.0000

=====

A plane-wave DFT calculation with GGA-PBEsol was carried out for a geometry-optimized Ca2AgAu2 structure.

Values from the calculation:
As for the crystal system: tetragonal. For the density of states at the Fermi level, the calculation gives 3.3 states/eV per cell. For the size of the total moment, the calculation gives 0.00 μB/atom. The formation energy is -600 meV/atom.

Unit cell a=3.9852 b=7.5552 c=7.5552 alpha=90.00 beta=90.00 gamma=90.00
Atoms (fractional coordinates):
Ca: 0.5000 0.6719 0.8281
Ca: 0.5000 0.3281 0.1719
Ca: 0.5000 0.8281 0.3281
Ca: 0.5000 0.1719 0.6719
Au: 0.0000 0.6305 0.1305
Au: 0.0000 0.8695 0.6305
Au: 0.0000 0.1305 0.3695
Au: 0.0000 0.3695 0.8695
Ag: 0.0000 0.5000 0.5000
Ag: 0.0000 0.0000 0.0000

=====

A plane-wave DFT calculation with GGA-PBEsol was carried out for a geometry-optimized LiCa2Cr structure.

Values from the calculation:
As for the crystal system: monoclinic. For the density of states at the Fermi level, the calculation gives 3.7 states/eV per cell. For the size of the total moment, the calculation gives 1.07 μB/atom. The formation energy is 594 meV/atom.

Unit cell a=3.4403 b=5.3800 c=6.5804 alpha=97.12 beta=90.00 gamma=108.65
Atoms (fractional coordinates):
Li: 0.5000 0.0000 0.0000
Ca: 0.7446 0.4892 0.7380
Ca: 0.2554 0.5108 0.2620
Cr: 0.0000 0.0000 0.5000